# 1
TbY2Er8: optimized geometry, PBE.

Calculated values
Space-group type: C2/m (12)
Final energy: -4.756 eV per atom
Total magnetization: 0.00 μB per atom
D(E_F): 14.48 states/eV per cell
Calculated density: 7.92 g cm⁻³
ΔH_f (0 K): 159 meV per atom

Cell and atoms, written as POSCAR:
```
TbY2Er8
1.0
5.5599 1.8893 0.0000
2.9420 8.5870 0.0000
1.4710 4.2935 8.3237
Tb Y Er
1 2 8
Direct
0.5000 0.0000 0.0000
0.0000 0.3104 0.3791
0.0000 0.6896 0.6209
0.7929 0.0978 0.2519
0.7929 0.3497 0.7481
0.2794 0.4579 0.0000
0.5000 0.7980 0.4041
0.5000 0.2020 0.5959
0.7206 0.5421 0.0000
0.2071 0.6503 0.2519
0.2071 0.9022 0.7481
```

=====

# 2
TbY4Er: optimized geometry, PBE.

Calculated values
Space-group type: Pmmm (47)
Final energy: -5.645 eV per atom
Relative energy among the computed polymorphs: 191 meV/atom
Total magnetization: 0.00 μB per atom
D(E_F): 13.31 states/eV per cell
Calculated density: 5.69 g cm⁻³
ΔH_f (0 K): 197 meV per atom

Cell and atoms, written as POSCAR:
```
TbY4Er
1.0
-0.2497 1.2186 3.2324
5.3378 -2.0080 1.1692
3.8757 8.5914 -2.9397
Tb Y Er
1 4 1
Direct
0.9973 0.0013 0.5019
0.9973 0.5013 0.6901
0.9973 0.5013 0.3136
0.4973 0.0013 0.1886
0.4973 0.0013 0.8151
0.4973 0.5013 0.0019
```

=====

# 3
Tb14YEr: optimized geometry, PBE.

Calculated values
Space-group type: Amm2 (38)
Final energy: -4.742 eV per atom
Total magnetization: 0.00 μB per atom
D(E_F): 17.77 states/eV per cell
Calculated density: 8.10 g cm⁻³
ΔH_f (0 K): -1 meV per atom

Cell and atoms, written as POSCAR:
```
Tb14YEr
1.0
7.0941 -0.8574 0.0000
-2.8022 6.5734 0.0000
0.0000 0.0000 11.4982
Tb Y Er
14 1 1
Direct
0.0419 0.9581 0.0000
0.5417 0.4583 0.0000
0.2078 0.2915 0.5000
0.0422 0.4584 0.0000
0.7085 0.7922 0.5000
0.5416 0.9578 0.0000
0.3744 0.1246 0.7496
0.3744 0.1246 0.2504
0.8754 0.6256 0.7496
0.8754 0.6256 0.2504
0.3749 0.6251 0.7491
0.3749 0.6251 0.2509
0.8752 0.1248 0.7504
0.8752 0.1248 0.2496
0.7083 0.2917 0.5000
0.2081 0.7919 0.5000
```

=====

# 4
Tb3Y8Er2: optimized geometry, PBE.

Calculated values
Space-group type: Cmmm (65)
Final energy: -5.507 eV per atom
Total magnetization: 0.00 μB per atom
D(E_F): 23.57 states/eV per cell
Calculated density: 5.82 g cm⁻³
ΔH_f (0 K): 242 meV per atom

Cell and atoms, written as POSCAR:
```
Tb3Y8Er2
1.0
0.8134 3.2953 -4.5149
6.9776 -2.9898 -0.9251
-7.3457 -5.6667 -5.4579
Tb Y Er
3 8 2
Direct
0.5000 0.0000 0.0000
0.0000 0.2854 0.0000
0.0000 0.7146 0.0000
0.9997 0.3292 0.6585
0.0003 0.6708 0.3415
0.9999 0.8662 0.7322
0.0001 0.1338 0.2678
0.5002 0.8192 0.2162
0.5002 0.3970 0.2162
0.4998 0.6030 0.7838
0.4998 0.1808 0.7838
0.5002 0.7586 0.5171
0.4998 0.2414 0.4829
```

=====

# 5
Tb3YEr4: optimized geometry, PBE.

Calculated values
Space-group type: Immm (71)
Final energy: -4.653 eV per atom
Relative energy among the computed polymorphs: 169 meV/atom
Total magnetization: 0.00 μB per atom
D(E_F): 13.72 states/eV per cell
Calculated density: 7.96 g cm⁻³
ΔH_f (0 K): 173 meV per atom

Cell and atoms, written as POSCAR:
```
Tb3YEr4
1.0
0.3916 -3.0572 1.6016
6.3277 1.4641 1.2474
-12.6904 4.0393 7.0471
Y Tb Er
1 3 4
Direct
0.5000 0.0000 0.0000
0.0000 0.5000 0.0000
0.2389 0.2167 0.4777
0.7611 0.7833 0.5223
0.3752 0.8810 0.7504
0.6248 0.1190 0.2496
0.6247 0.6305 0.2495
0.3753 0.3695 0.7505
```

=====

# 6
Tb3Y2Er3: optimized geometry, PBE.

Calculated values
Space-group type: Immm (71)
Final energy: -5.042 eV per atom
Relative energy among the computed polymorphs: 17 meV/atom
Total magnetization: 0.00 μB per atom
D(E_F): 11.30 states/eV per cell
Calculated density: 7.63 g cm⁻³
ΔH_f (0 K): 22 meV per atom

Cell and atoms, written as POSCAR:
```
Tb3Y2Er3
1.0
-3.1116 -3.9181 0.1961
1.6384 -1.0704 4.6117
-6.4066 8.3624 1.4988
Tb Y Er
3 2 3
Direct
0.1238 0.1238 0.2476
0.0000 0.5000 0.0000
0.8762 0.8762 0.7524
0.7503 0.2503 0.5006
0.2497 0.7497 0.4994
0.6242 0.6243 0.2485
0.3758 0.3757 0.7515
0.5000 0.0000 0.0000
```

=====

# 7
Tb3Y3Er5: optimized geometry, PBE.

Calculated values
Space-group type: P-62m (189)
Final energy: -4.282 eV per atom
Total magnetization: 0.00 μB per atom
D(E_F): 15.56 states/eV per cell
Calculated density: 5.93 g cm⁻³
ΔH_f (0 K): 818 meV per atom

Cell and atoms, written as POSCAR:
```
Tb3Y3Er5
1.0
-5.4891 0.1816 0.6532
0.7737 -5.3016 7.9759
0.3822 9.5852 0.5467
Tb Y Er
3 3 5
Direct
0.0000 0.5414 0.5414
0.0000 0.4586 0.0000
0.0000 0.0000 0.4586
0.5000 0.7359 0.7359
0.5000 0.0000 0.2641
0.5000 0.2641 0.0000
0.5000 0.3333 0.6667
0.5000 0.6667 0.3333
0.5000 0.3749 0.3749
0.5000 0.0000 0.6251
0.5000 0.6251 0.0000
```

=====

# 8
TbY5Er3: optimized geometry, PBE.

Calculated values
Space-group type: C2/c (15)
Final energy: -5.511 eV per atom
Relative energy among the computed polymorphs: 0 meV/atom
Total magnetization: 0.00 μB per atom
D(E_F): 31.90 states/eV per cell
Calculated density: 6.34 g cm⁻³
ΔH_f (0 K): 116 meV per atom

Cell and atoms, written as POSCAR:
```
TbY5Er3
1.0
10.2745 0.0000 0.0000
-5.1373 8.0423 -1.8533
0.0000 0.0935 6.9815
Tb Y Er
2 10 6
Direct
0.6862 0.0000 0.7500
0.3138 0.0000 0.2500
0.3158 0.0000 0.7500
0.6566 0.6444 0.9109
0.0121 0.3555 0.0889
0.3434 0.3556 0.0891
0.6566 0.6445 0.4111
0.6842 0.0000 0.2500
0.9877 0.6444 0.4109
0.0123 0.3556 0.5891
0.3434 0.3555 0.5889
0.9879 0.6445 0.9111
0.0000 0.0000 0.0000
0.6570 0.3136 0.5778
0.0000 0.0000 0.5000
0.3430 0.6864 0.4222
0.6567 0.3136 0.0778
0.3433 0.6864 0.9222
```

=====

# 9
Tb2Y3Er4: optimized geometry, PBE.

Calculated values
Space-group type: C2/c (15)
Final energy: -5.110 eV per atom
Total magnetization: 0.00 μB per atom
D(E_F): 27.68 states/eV per cell
Calculated density: 7.35 g cm⁻³
ΔH_f (0 K): 102 meV per atom

Cell and atoms, written as POSCAR:
```
Tb2Y3Er4
1.0
-1.7952 -1.3971 -5.6729
5.5443 -8.0725 -5.4551
-5.1932 -9.7996 -1.6318
Tb Y Er
4 6 8
Direct
0.4225 0.2358 0.5213
0.0775 0.4787 0.7642
0.5775 0.7642 0.4787
0.9225 0.5213 0.2358
0.7570 0.0682 0.2636
0.7430 0.7364 0.9318
0.2430 0.9318 0.7364
0.2570 0.2636 0.0682
0.2500 0.5975 0.4025
0.7500 0.4025 0.5975
0.4225 0.9048 0.1877
0.0775 0.8123 0.0952
0.5775 0.0952 0.8123
0.9225 0.1877 0.9048
0.0802 0.1452 0.4263
0.4198 0.5737 0.8548
0.9198 0.8548 0.5737
0.5802 0.4263 0.1452
```

=====

# 10
Tb12YEr6: optimized geometry, PBE.

Calculated values
Space-group type: R-3m (166)
Final energy: -4.263 eV per atom
Relative energy among the computed polymorphs: 288 meV/atom
Total magnetization: 0.00 μB per atom
D(E_F): 24.65 states/eV per cell
Calculated density: 7.62 g cm⁻³
ΔH_f (0 K): 442 meV per atom

Cell and atoms, written as POSCAR:
```
Tb12YEr6
1.0
-7.2469 5.8131 0.6114
1.1580 -2.2154 -8.9686
-2.1624 -7.7847 4.6268
Tb Y Er
12 1 6
Direct
0.8893 0.1107 0.5000
0.3646 0.1482 0.3646
0.3646 0.3646 0.1482
0.8518 0.6354 0.6354
0.6354 0.6354 0.8518
0.6354 0.8518 0.6354
0.5000 0.8893 0.1107
0.1107 0.5000 0.8893
0.1107 0.8893 0.5000
0.5000 0.1107 0.8893
0.8893 0.5000 0.1107
0.1482 0.3646 0.3646
0.0000 0.0000 0.0000
0.6841 0.2633 0.6841
0.6841 0.6841 0.2633
0.2633 0.6841 0.6841
0.3159 0.3159 0.7367
0.3159 0.7367 0.3159
0.7367 0.3159 0.3159
```

=====

# 11
Tb5Y2Er2: optimized geometry, PBE.

Calculated values
Space-group type: Ima2 (46)
Final energy: -4.799 eV per atom
Relative energy among the computed polymorphs: 87 meV/atom
Total magnetization: 0.00 μB per atom
D(E_F): 29.37 states/eV per cell
Calculated density: 7.45 g cm⁻³
ΔH_f (0 K): 224 meV per atom

Cell and atoms, written as POSCAR:
```
Tb5Y2Er2
1.0
-7.0540 8.9749 -2.6386
-5.2703 -3.4830 2.2423
7.1948 0.0612 6.9856
Tb Y Er
10 4 4
Direct
0.1991 0.6583 0.8977
0.8009 0.7606 0.1023
0.1985 0.1583 0.8977
0.8015 0.2606 0.1023
0.3787 0.0307 0.2866
0.6213 0.7441 0.7134
0.4079 0.5307 0.2866
0.5921 0.2441 0.7134
0.9995 0.6516 0.5000
0.0005 0.1516 0.5000
0.1258 0.6832 0.2535
0.8742 0.4297 0.7465
0.6276 0.1832 0.2535
0.3724 0.9297 0.7465
0.0000 0.0214 0.0000
0.5000 0.5214 0.0000
0.2610 0.3565 0.5000
0.7390 0.8565 0.5000
```

=====

# 12
TbY3Er4: optimized geometry, PBE.

Calculated values
Space-group type: C2/m (12)
Final energy: -5.113 eV per atom
Relative energy among the computed polymorphs: 170 meV/atom
Total magnetization: 0.00 μB per atom
D(E_F): 14.12 states/eV per cell
Calculated density: 7.06 g cm⁻³
ΔH_f (0 K): 171 meV per atom

Cell and atoms, written as POSCAR:
```
TbY3Er4
1.0
-2.5605 2.2544 0.6029
-4.2224 -5.0244 0.8550
5.8173 1.2087 10.2325
Y Tb Er
3 1 4
Direct
0.0000 0.5000 0.0000
0.1260 0.8806 0.2519
0.8740 0.1194 0.7481
0.5000 0.0000 0.0000
0.7393 0.2434 0.4785
0.2607 0.7566 0.5215
0.1250 0.3676 0.2501
0.8750 0.6324 0.7499
```

=====

# 13
Tb2YEr: optimized geometry, PBE.

Calculated values
Space-group type: P-1 (2)
Final energy: -5.023 eV per atom
Relative energy among the computed polymorphs: 41 meV/atom
Total magnetization: 0.00 μB per atom
D(E_F): 14.93 states/eV per cell
Calculated density: 7.48 g cm⁻³
ΔH_f (0 K): 49 meV per atom

Cell and atoms, written as POSCAR:
```
Tb2YEr
1.0
1.8105 -0.6487 6.7524
5.6927 -2.6244 1.8654
3.2524 5.7792 1.5108
Tb Y Er
4 2 2
Direct
0.6626 0.7343 0.2587
0.7971 0.7273 0.7400
0.1050 0.2392 0.4759
0.2393 0.2325 0.9572
0.2911 0.7391 0.7347
0.6108 0.2277 0.4814
0.1643 0.7325 0.2581
0.7377 0.2340 0.9580
```

=====

# 14
Tb3Y3Er2: optimized geometry, PBE.

Calculated values
Space-group type: Immm (71)
Final energy: -5.278 eV per atom
Total magnetization: 0.00 μB per atom
D(E_F): 11.39 states/eV per cell
Calculated density: 7.06 g cm⁻³
ΔH_f (0 K): 23 meV per atom

Cell and atoms, written as POSCAR:
```
Tb3Y3Er2
1.0
5.0236 0.0000 0.0000
0.0000 5.0219 0.0006
-2.5118 -2.5097 10.0477
Tb Y Er
3 3 2
Direct
0.1261 0.1260 0.2521
0.0000 0.5000 0.0000
0.8739 0.8740 0.7479
0.6261 0.6260 0.2521
0.3739 0.3740 0.7479
0.5000 0.0000 0.0000
0.7501 0.2501 0.5002
0.2499 0.7499 0.4998
```

=====

# 15
TbY2Er9: optimized geometry, PBE.

Calculated values
Space-group type: P6/mmm (191)
Final energy: -4.826 eV per atom
Relative energy among the computed polymorphs: 35 meV/atom
Total magnetization: 0.00 μB per atom
D(E_F): 19.32 states/eV per cell
Calculated density: 8.19 g cm⁻³
ΔH_f (0 K): 60 meV per atom

Cell and atoms, written as POSCAR:
```
TbY2Er9
1.0
-1.1226 1.2143 3.0519
5.3218 -8.2672 5.2470
5.2236 9.6553 -1.9204
Tb Y Er
1 2 9
Direct
0.0000 0.0000 0.0000
0.0000 0.3333 0.6667
0.0000 0.6667 0.3333
0.0000 0.0000 0.5000
0.0000 0.5000 0.5000
0.0000 0.5000 0.0000
0.5000 0.3523 0.1761
0.5000 0.1762 0.8239
0.5000 0.1762 0.3523
0.5000 0.8238 0.6477
0.5000 0.8238 0.1761
0.5000 0.6477 0.8239
```

=====

# 16
TbY4Er10: optimized geometry, PBE.

Calculated values
Space-group type: I4/m (87)
Final energy: -4.711 eV per atom
Total magnetization: 0.00 μB per atom
D(E_F): 25.04 states/eV per cell
Calculated density: 7.46 g cm⁻³
ΔH_f (0 K): 363 meV per atom

Cell and atoms, written as POSCAR:
```
TbY4Er10
1.0
9.4245 0.0000 4.2556
4.7122 6.8636 2.1278
1.8876 0.0000 8.3832
Tb Y Er
1 4 10
Direct
0.0000 0.0000 0.0000
0.3330 0.7379 0.5961
0.9291 0.4039 0.7379
0.0709 0.5961 0.2621
0.6670 0.2621 0.4039
0.2500 0.5000 0.5000
0.5505 0.3243 0.8975
0.1252 0.1025 0.3243
0.5520 0.8975 0.6757
0.7723 0.6757 0.1025
0.4495 0.6757 0.1025
0.7500 0.5000 0.5000
0.2277 0.3243 0.8975
0.4480 0.1025 0.3243
0.8748 0.8975 0.6757
```

=====

# 17
Tb4YEr8: optimized geometry, PBE.

Calculated values
Space-group type: R-3m (166)
Final energy: -4.502 eV per atom
Total magnetization: 0.00 μB per atom
D(E_F): 16.60 states/eV per cell
Calculated density: 8.36 g cm⁻³
ΔH_f (0 K): 228 meV per atom

Cell and atoms, written as POSCAR:
```
Tb4YEr8
1.0
6.3852 -0.0005 -3.4448
-4.1217 5.9706 -0.0005
1.1737 0.8110 9.8154
Tb Y Er
4 1 8
Direct
0.0000 0.0000 0.0000
0.0000 0.5000 0.0000
0.5000 0.5000 0.0000
0.5000 0.0000 0.0000
0.0000 0.5000 0.5000
0.5670 0.7835 0.3506
0.4330 0.2165 0.6494
0.4986 0.2493 0.3048
0.9445 0.1939 0.6952
0.5014 0.7507 0.6952
0.9446 0.7507 0.6952
0.0554 0.2493 0.3048
0.0555 0.8061 0.3048
```

=====

# 18
Tb2Y12Er: optimized geometry, PBE.

Calculated values
Space-group type: P4/nbm (125)
Final energy: -5.699 eV per atom
Total magnetization: 0.00 μB per atom
D(E_F): 59.71 states/eV per cell
Calculated density: 4.97 g cm⁻³
ΔH_f (0 K): 394 meV per atom

Cell and atoms, written as POSCAR:
```
Tb2Y12Er
1.0
-5.4177 0.1212 -3.5250
-1.3814 -6.0176 1.9162
-12.4607 9.0579 19.4629
Tb Y Er
4 24 2
Direct
0.5000 0.0000 0.2665
0.0000 0.5000 0.2665
0.0000 0.5000 0.7335
0.5000 0.0000 0.7335
0.5000 0.5000 0.7869
0.0000 0.0000 0.7869
0.7504 0.7496 0.8890
0.2504 0.7504 0.8890
0.0000 0.0000 0.3370
0.2496 0.7496 0.1110
0.8313 0.3313 0.5619
0.5000 0.5000 0.3370
0.2496 0.2504 0.8890
0.7496 0.7504 0.1110
0.3313 0.1687 0.5619
0.6687 0.1687 0.4381
0.0000 0.0000 0.6630
0.1687 0.3313 0.4381
0.2504 0.2496 0.1110
0.8313 0.6687 0.4381
0.6687 0.8313 0.5619
0.0000 0.0000 0.2131
0.1687 0.6687 0.5619
0.5000 0.5000 0.6630
0.7496 0.2496 0.8890
0.5000 0.5000 0.2131
0.3313 0.8313 0.4381
0.7504 0.2504 0.1110
0.5000 0.0000 0.0000
0.0000 0.5000 0.0000
```

=====

# 19
Tb2Y15Er2: optimized geometry, PBE.

Calculated values
Space-group type: R-3m (166)
Final energy: -5.764 eV per atom
Total magnetization: 0.00 μB per atom
D(E_F): 35.24 states/eV per cell
Calculated density: 5.14 g cm⁻³
ΔH_f (0 K): 307 meV per atom

Cell and atoms, written as POSCAR:
```
Tb2Y15Er2
1.0
6.7407 -5.5792 -0.5439
6.7407 5.5792 -0.5439
2.8361 0.0000 8.2955
Tb Y Er
2 15 2
Direct
0.0952 0.0952 0.0952
0.9048 0.9048 0.9048
0.0000 0.0000 0.5000
0.5000 0.0000 0.0000
0.0000 0.5000 0.0000
0.3002 0.6998 0.0000
0.0000 0.3002 0.6998
0.6998 0.0000 0.3002
0.0000 0.6998 0.3002
0.3002 0.0000 0.6998
0.6998 0.3002 0.0000
0.6271 0.6271 0.1499
0.1499 0.6271 0.6271
0.6271 0.1499 0.6271
0.3729 0.3729 0.8501
0.8501 0.3729 0.3729
0.3729 0.8501 0.3729
0.3190 0.3190 0.3190
0.6810 0.6810 0.6810
```